No. 1
Compound: Mg2Ag6Sn
Source: Alexandria
Functional: GGA-PBE
Structure: relaxed

Cell: 13.6251 9.9281 5.0824 Å, 90.00 97.71 90.00°
Space group C2/c (No. 15)
Inequivalent atoms, fractional coordinates:
Mg1 0.1656 0.1239 0.0855 (multiplicity 8)
Ag1 0.0565 0.1205 0.5310 (multiplicity 8)
Ag2 0.1175 0.3705 0.8057 (multiplicity 8)
Ag3 0.2266 0.3749 0.3586 (multiplicity 8)
Sn1 0.0000 0.3734 0.2500 (multiplicity 4)

Computed properties:
ρ = 7.9 Mg/m³
DOS at the Fermi energy = 0.23 states/eV per atom
ΔE_f = -0.099 eV per atom
calculated volume = 170 Å³/f.u.


No. 2
Compound: Ge2B2O
Source: Alexandria
Functional: GGA-PBE
Structure: relaxed

Cell: 2.9196 2.9196 12.7704 Å, 90.00 90.00 90.00°
Space group I4/mmm (No. 139)
Inequivalent atoms, fractional coordinates:
Ge1 0.0000 0.0000 0.1113 (multiplicity 4)
B1 0.0000 0.5000 0.2500 (multiplicity 4)
O1 0.0000 0.0000 0.5000 (multiplicity 2)

Computed properties:
ρ = 5.6 Mg/m³
E_form (uncorrected) = 0.57 eV per atom
DOS at the Fermi energy = 0.40 states/eV per atom
calculated volume = 54 Å³/f.u.


No. 3
Compound: Cu5Pt6W
Source: Alexandria
Functional: GGA-PBE
Structure: relaxed

Cell: 3.9435 11.8457 7.3145 Å, 90.00 90.00 90.00°
Space group Cmmm (No. 65)
Inequivalent atoms, fractional coordinates:
Cu1 0.0000 0.0000 0.0000 (multiplicity 2)
Cu2 0.0000 0.3329 0.5000 (multiplicity 4)
Cu3 0.0000 0.3358 0.0000 (multiplicity 4)
Pt1 0.0000 0.1666 0.2502 (multiplicity 8)
Pt2 0.0000 0.5000 0.2552 (multiplicity 4)
W1 0.0000 0.0000 0.5000 (multiplicity 2)

Computed properties:
ρ = 16.3 Mg/m³
DOS at the Fermi energy = 0.43 states/eV per atom
ΔE_f = -0.204 eV per atom
calculated volume = 171 Å³/f.u.


No. 4
Compound: SrNd5Te8
Source: Alexandria
Functional: GGA-PBE
Structure: relaxed

Cell: 13.3011 13.3011 13.3011 Å, 90.00 90.00 90.00°
Space group F-43m (No. 216)
Inequivalent atoms, fractional coordinates:
Sr1 0.0000 0.0000 0.0000 (multiplicity 4)
Nd1 0.1267 0.1267 0.3733 (multiplicity 16)
Nd2 0.2500 0.2500 0.7500 (multiplicity 4)
Te1 0.1171 0.1171 0.6171 (multiplicity 16)
Te2 0.1364 0.1364 0.1364 (multiplicity 16)

Computed properties:
ρ = 5.2 Mg/m³
E_form (uncorrected) = -1.36 eV per atom
DOS at the Fermi energy = 0.38 states/eV per atom
calculated volume = 588 Å³/f.u.


No. 5
Compound: Mo3RuBr
Source: Alexandria
Functional: GGA-PBE
Structure: relaxed

Cell: 4.5368 4.5368 4.5368 Å, 90.00 90.00 90.00°
Space group Pm-3m (No. 221)
Inequivalent atoms, fractional coordinates:
Mo1 0.0000 0.0000 0.5000 (multiplicity 3)
Ru1 0.5000 0.5000 0.5000 (multiplicity 1)
Br1 0.0000 0.0000 0.0000 (multiplicity 1)

Computed properties:
ρ = 8.3 Mg/m³
E_form (uncorrected) = 1.85 eV per atom
DOS at the Fermi energy = 1.20 states/eV per atom
calculated volume = 93 Å³/f.u.


No. 6
Compound: SiNiAu2
Source: Alexandria
Functional: GGA-PBE
Structure: relaxed

Cell: 7.6079 2.8917 5.8608 Å, 90.00 100.58 90.00°
Space group Cm (No. 8)
Inequivalent atoms, fractional coordinates:
Si1 0.0000 0.0000 0.0000 (multiplicity 2)
Ni1 0.2290 0.5000 0.1257 (multiplicity 2)
Au1 0.2583 0.0000 0.7252 (multiplicity 2)
Au2 0.4855 0.0000 0.4013 (multiplicity 2)

Computed properties:
ρ = 12.6 Mg/m³
E_form (uncorrected) = -0.02 eV per atom
DOS at the Fermi energy = 0.50 states/eV per atom
calculated volume = 63 Å³/f.u.


No. 7
Compound: CaTl2Pb
Source: Alexandria
Functional: GGA-PBE
Structure: relaxed

Cell: 4.8328 4.8328 10.1341 Å, 90.00 90.00 90.00°
Space group I4/mmm (No. 139)
Inequivalent atoms, fractional coordinates:
Ca1 0.0000 0.0000 0.0000 (multiplicity 2)
Tl1 0.0000 0.5000 0.2500 (multiplicity 4)
Pb1 0.0000 0.0000 0.5000 (multiplicity 2)

Computed properties:
ρ = 9.2 Mg/m³
DOS at the Fermi energy = 0.40 states/eV per atom
ΔE_f = -0.256 eV per atom
calculated volume = 118 Å³/f.u.


No. 8
Compound: Zr2In2H
Source: Alexandria
Functional: GGA-PBE
Structure: relaxed

Cell: 6.1259 6.1259 5.2409 Å, 90.00 90.00 90.00°
Space group P4/mbm (No. 127)
Inequivalent atoms, fractional coordinates:
Zr1 0.1680 0.3320 0.0000 (multiplicity 4)
In1 0.1674 0.6674 0.5000 (multiplicity 4)
H1 0.0000 0.0000 0.0000 (multiplicity 2)

Computed properties:
ρ = 7.0 Mg/m³
DOS at the Fermi energy = 0.45 states/eV per atom
total DFT energy (no corrections) = -5.35 eV/atom
calculated volume = 98 Å³/f.u.


No. 9
Compound: LaGdGe2
Source: Alexandria
Functional: GGA-PBE
Structure: relaxed

Cell: 3.4388 3.4388 8.2873 Å, 90.00 90.00 90.00°
Space group P4/mmm (No. 123)
Inequivalent atoms, fractional coordinates:
La1 0.0000 0.0000 0.0000 (multiplicity 1)
Gd1 0.0000 0.0000 0.5000 (multiplicity 1)
Ge1 0.5000 0.5000 0.2584 (multiplicity 2)

Computed properties:
ρ = 7.5 Mg/m³
DOS at the Fermi energy = 0.74 states/eV per atom
ΔE_f = -0.683 eV per atom
calculated volume = 98 Å³/f.u.


No. 10
Compound: PbAuI2N
Source: Alexandria
Functional: GGA-PBE
Structure: relaxed

Cell: 6.1118 6.1118 4.5815 Å, 90.00 90.00 90.00°
Space group P4/mmm (No. 123)
Inequivalent atoms, fractional coordinates:
Pb1 0.0000 0.0000 0.0000 (multiplicity 1)
Au1 0.5000 0.5000 0.5000 (multiplicity 1)
I1 0.0000 0.5000 0.0000 (multiplicity 2)
N1 0.0000 0.0000 0.5000 (multiplicity 1)

Computed properties:
ρ = 6.5 Mg/m³
E_form (uncorrected) = 1.03 eV per atom
DOS at the Fermi energy = 0.61 states/eV per atom
calculated volume = 171 Å³/f.u.


No. 11
Compound: ErThTlPb
Source: Alexandria
Functional: GGA-PBE
Structure: relaxed

Cell: 7.7331 7.7331 7.7331 Å, 90.00 90.00 90.00°
Space group F-43m (No. 216)
Inequivalent atoms, fractional coordinates:
Er1 0.0000 0.0000 0.0000 (multiplicity 4)
Th1 0.0000 0.0000 0.5000 (multiplicity 4)
Tl1 0.2500 0.2500 0.7500 (multiplicity 4)
Pb1 0.2500 0.2500 0.2500 (multiplicity 4)

Computed properties:
ρ = 11.6 Mg/m³
DOS at the Fermi energy = 1.07 states/eV per atom
ΔE_f = -0.206 eV per atom
calculated volume = 116 Å³/f.u.


No. 12
Compound: AlPbW2
Source: Alexandria
Functional: GGA-PBE
Structure: relaxed

Cell: 2.9463 2.9463 29.2447 Å, 90.00 90.00 120.00°
Space group R-3m (No. 166, hexagonal axes)
Inequivalent atoms, fractional coordinates:
Al1 0.0000 0.0000 0.0000 (multiplicity 3)
Pb1 0.0000 0.0000 0.5000 (multiplicity 3)
W1 0.0000 0.0000 0.2577 (multiplicity 6)

Computed properties:
ρ = 13.6 Mg/m³
DOS at the Fermi energy = 0.78 states/eV per atom
ΔE_f = 0.742 eV per atom
calculated volume = 73 Å³/f.u.


No. 13
Compound: Sr2TcF2
Source: Alexandria
Functional: GGA-PBE
Structure: relaxed

Cell: 7.7503 7.7503 3.2222 Å, 90.00 90.00 90.00°
Space group P4/mbm (No. 127)
Inequivalent atoms, fractional coordinates:
Sr1 0.1784 0.3216 0.0000 (multiplicity 4)
Tc1 0.0000 0.0000 0.5000 (multiplicity 2)
F1 0.1203 0.6203 0.5000 (multiplicity 4)

Computed properties:
ρ = 5.3 Mg/m³
E_form (uncorrected) = -1.37 eV per atom
DOS at the Fermi energy = 0.63 states/eV per atom
calculated volume = 97 Å³/f.u.


No. 14
Compound: MoW2Se
Source: Alexandria
Functional: GGA-PBE
Structure: relaxed

Cell: 3.1277 4.4313 9.1654 Å, 90.00 90.00 90.00°
Space group Imm2 (No. 44)
Inequivalent atoms, fractional coordinates:
Mo1 0.0000 0.0000 0.0000 (multiplicity 2)
W1 0.0000 0.0000 0.4874 (multiplicity 2)
W2 0.0000 0.5000 0.2423 (multiplicity 2)
Se1 0.0000 0.5000 0.7425 (multiplicity 2)

Computed properties:
ρ = 14.2 Mg/m³
E_form (uncorrected) = 0.43 eV per atom
DOS at the Fermi energy = 0.82 states/eV per atom
calculated volume = 64 Å³/f.u.


No. 15
Compound: InSnCl3
Source: Alexandria
Functional: GGA-PBE
Structure: relaxed

Cell: 4.9539 4.9539 17.1031 Å, 90.00 90.00 120.00°
Space group P6_3/mmc (No. 194)
Inequivalent atoms, fractional coordinates:
In1 0.0000 0.0000 0.0000 (multiplicity 2)
Sn1 0.3333 0.6667 0.2500 (multiplicity 2)
Cl1 0.0000 0.0000 0.2500 (multiplicity 2)
Cl2 0.3333 0.6667 0.0904 (multiplicity 4)

Computed properties:
ρ = 3.1 Mg/m³
E_form (uncorrected) = -0.87 eV per atom
DOS at the Fermi energy = 0.00 states/eV per atom
calculated volume = 182 Å³/f.u.


No. 16
Compound: SrTbCdAu
Source: Alexandria
Functional: GGA-PBE
Structure: relaxed

Cell: 7.5847 7.5847 7.5847 Å, 90.00 90.00 90.00°
Space group F-43m (No. 216)
Inequivalent atoms, fractional coordinates:
Sr1 0.0000 0.0000 0.0000 (multiplicity 4)
Tb1 0.0000 0.0000 0.5000 (multiplicity 4)
Cd1 0.2500 0.2500 0.7500 (multiplicity 4)
Au1 0.2500 0.2500 0.2500 (multiplicity 4)

Computed properties:
ρ = 8.5 Mg/m³
DOS at the Fermi energy = 0.62 states/eV per atom
ΔE_f = -0.464 eV per atom
calculated volume = 109 Å³/f.u.


No. 17
Compound: ZnGaB3
Source: Alexandria
Functional: GGA-PBE
Structure: relaxed

Cell: 4.0958 4.0958 4.0958 Å, 90.00 90.00 90.00°
Space group Pm-3m (No. 221)
Inequivalent atoms, fractional coordinates:
Zn1 0.0000 0.0000 0.0000 (multiplicity 1)
Ga1 0.5000 0.5000 0.5000 (multiplicity 1)
B1 0.0000 0.0000 0.5000 (multiplicity 3)

Computed properties:
ρ = 4.0 Mg/m³
DOS at the Fermi energy = 0.34 states/eV per atom
ΔE_f = 1.827 eV per atom
calculated volume = 69 Å³/f.u.


No. 18
Compound: NdMn10Si2
Source: Alexandria
Functional: GGA-PBE
Structure: relaxed

Cell: 8.3087 9.7015 8.1277 Å, 90.00 90.00 90.00°
Space group Cmcm (No. 63)
Inequivalent atoms, fractional coordinates:
Nd1 0.0000 0.1270 0.2500 (multiplicity 4)
Mn1 0.0000 0.1776 0.6114 (multiplicity 8)
Mn2 0.0000 0.3997 0.0669 (multiplicity 8)
Mn3 0.1337 0.3906 0.7500 (multiplicity 8)
Mn4 0.2221 0.0000 0.0000 (multiplicity 8)
Mn5 0.2477 0.1238 0.7500 (multiplicity 8)
Si1 0.2500 0.2500 0.0000 (multiplicity 8)

Computed properties:
ρ = 7.6 Mg/m³
E_form (uncorrected) = -0.14 eV per atom
DOS at the Fermi energy = 1.09 states/eV per atom
calculated volume = 164 Å³/f.u.


No. 19
Compound: CaY2In
Source: Alexandria
Functional: GGA-PBE
Structure: relaxed

Cell: 3.6535 3.6535 9.6116 Å, 90.00 90.00 90.00°
Space group P4/mmm (No. 123)
Inequivalent atoms, fractional coordinates:
Ca1 0.0000 0.0000 0.0000 (multiplicity 1)
Y1 0.5000 0.5000 0.2950 (multiplicity 2)
In1 0.0000 0.0000 0.5000 (multiplicity 1)

Computed properties:
ρ = 4.3 Mg/m³
DOS at the Fermi energy = 1.28 states/eV per atom
ΔE_f = -0.185 eV per atom
calculated volume = 128 Å³/f.u.


No. 20
Compound: CaTcS2
Source: Alexandria
Functional: GGA-PBE
Structure: relaxed

Cell: 6.4100 6.4100 6.4100 Å, 90.00 90.00 90.00°
Space group Fm-3m (No. 225)
Inequivalent atoms, fractional coordinates:
Ca1 0.0000 0.0000 0.0000 (multiplicity 4)
Tc1 0.0000 0.0000 0.5000 (multiplicity 4)
S1 0.2500 0.2500 0.2500 (multiplicity 8)

Computed properties:
ρ = 5.1 Mg/m³
E_form (uncorrected) = -0.55 eV per atom
DOS at the Fermi energy = 0.38 states/eV per atom
calculated volume = 66 Å³/f.u.